Record 1
# Sc3Mn2

A geometry-optimized Sc3Mn2 structure (GGA-PBEsol, Alexandria).

The structure in CIF format:
```
data_Sc3Mn2
_cell_length_a 4.4289
_cell_length_b 4.4289
_cell_length_c 5.5651
_cell_angle_alpha 90.00
_cell_angle_beta 90.00
_cell_angle_gamma 120.00
_space_group_name_H-M_alt 'P 1'
_space_group_IT_number 1
loop_
_space_group_symop_operation_xyz
'x,y,z'
loop_
_atom_site_label
_atom_site_type_symbol
_atom_site_fract_x
_atom_site_fract_y
_atom_site_fract_z
Sc1 Sc 0.3333 0.6667 0.3449
Sc2 Sc 0.0000 0.0000 0.0000
Mn1 Mn 0.3333 0.6667 0.8828
Sc3 Sc 0.6667 0.3333 0.6551
Mn2 Mn 0.6667 0.3333 0.1172
```


Record 2
# Bi17W3O34

A geometry-optimized Bi17W3O34 structure (GGA-PBEsol, Alexandria).

The structure in CIF format:
```
data_Bi17W3O34
_cell_length_a 10.1431
_cell_length_b 10.2755
_cell_length_c 10.1411
_cell_angle_alpha 108.60
_cell_angle_beta 106.28
_cell_angle_gamma 112.91
_space_group_name_H-M_alt 'P 1'
_space_group_IT_number 1
loop_
_space_group_symop_operation_xyz
'x,y,z'
loop_
_atom_site_label
_atom_site_type_symbol
_atom_site_fract_x
_atom_site_fract_y
_atom_site_fract_z
O1 O 0.7586 0.7518 0.4760
Bi1 Bi 0.5812 0.2962 0.0883
W1 W 0.4032 0.9266 0.5270
O2 O 0.8017 0.5566 0.2038
O3 O 0.4712 0.6714 0.0937
O4 O 0.6773 0.2786 0.3117
O5 O 0.6811 0.3690 0.5863
Bi2 Bi 0.4327 0.2318 0.4031
O6 O 0.4292 0.8116 0.6480
O7 O 0.0121 0.3725 0.4534
Bi3 Bi 0.1956 0.4997 0.9108
O8 O 0.7320 0.9355 0.1114
O9 O 0.0705 0.9951 0.1221
W2 W 0.8500 0.3553 0.5071
O10 O 0.5874 0.6699 0.8005
Bi4 Bi 0.7513 0.3573 0.8176
O11 O 0.5282 0.8267 0.4371
O12 O 0.0343 0.5033 0.0336
O13 O 0.2772 0.2812 0.5076
Bi5 Bi 0.0964 0.7774 0.1276
O14 O 0.5208 0.5185 0.4985
O15 O 0.2199 0.7454 0.9862
Bi6 Bi 0.7762 0.6757 0.7033
Bi7 Bi 0.2409 0.8204 0.7937
Bi8 Bi 0.9573 0.7463 0.4389
O16 O 0.7664 0.1165 0.4282
O17 O 0.3934 0.9627 0.3416
O18 O 0.9312 0.5764 0.5799
O19 O 0.6455 0.0784 0.6857
Bi9 Bi 0.9910 0.1023 0.2908
Bi10 Bi 0.2763 0.1859 0.6805
O20 O 0.1964 0.7525 0.3848
O21 O 0.5197 0.3788 0.8848
O22 O 0.1055 0.9337 0.8541
O23 O 0.0983 0.2090 0.8614
Bi11 Bi 0.6738 0.9859 0.8966
O24 O 0.4712 0.0116 0.9916
O25 O 0.9868 0.1938 0.0825
O26 O 0.3042 0.2452 0.1231
Bi12 Bi 0.7979 0.0072 0.5941
W3 W 0.0932 0.1060 0.9810
O27 O 0.4285 0.1430 0.5813
Bi13 Bi 0.6643 0.6579 0.0182
O28 O 0.7405 0.2524 0.0089
Bi14 Bi 0.5352 0.9356 0.1919
Bi15 Bi 0.0116 0.4353 0.2115
O29 O 0.0150 0.9583 0.4070
O30 O 0.8534 0.6374 0.9214
O31 O 0.3054 0.9768 0.6751
Bi16 Bi 0.4792 0.5835 0.3054
O32 O 0.8428 0.9410 0.8061
Bi17 Bi 0.3424 0.5429 0.5829
O33 O 0.2604 0.4976 0.3324
O34 O 0.9339 0.3682 0.7098
```


Record 3
# InGaGe2Bi

A geometry-optimized InGaGe2Bi structure (GGA-PBEsol, Alexandria).

The structure in CIF format:
```
data_InGaGe2Bi
_cell_length_a 5.4697
_cell_length_b 5.4697
_cell_length_c 5.7840
_cell_angle_alpha 90.00
_cell_angle_beta 90.00
_cell_angle_gamma 90.00
_space_group_name_H-M_alt 'P 1'
_space_group_IT_number 1
loop_
_space_group_symop_operation_xyz
'x,y,z'
loop_
_atom_site_label
_atom_site_type_symbol
_atom_site_fract_x
_atom_site_fract_y
_atom_site_fract_z
Ga1 Ga 0.5000 0.5000 0.5000
Ge1 Ge 0.0000 0.5000 0.0000
In1 In 0.0000 0.0000 0.5000
Ge2 Ge 0.5000 0.0000 0.0000
Bi1 Bi 0.0000 0.0000 0.0000
```


Record 4
# TaAgAu2

A geometry-optimized TaAgAu2 structure (GGA-PBEsol, Alexandria).

The structure in CIF format:
```
data_TaAgAu2
_cell_length_a 2.8579
_cell_length_b 2.8579
_cell_length_c 8.2593
_cell_angle_alpha 90.00
_cell_angle_beta 90.00
_cell_angle_gamma 90.00
_space_group_name_H-M_alt 'P 1'
_space_group_IT_number 1
loop_
_space_group_symop_operation_xyz
'x,y,z'
loop_
_atom_site_label
_atom_site_type_symbol
_atom_site_fract_x
_atom_site_fract_y
_atom_site_fract_z
Ag1 Ag 0.5000 0.5000 0.7503
Au1 Au 0.0000 0.0000 0.9984
Ta1 Ta 0.0000 0.0000 0.4971
Au2 Au 0.5000 0.5000 0.2542
```


no.,final energy (eV/atom)
1,-7.6018
2,-6.8419
3,-3.0991
4,-5.9058